(1)
This record from Alexandria via LeMat-Bulk describes a relaxed Ta2NbTc crystal. The functional is PBE.

a b c (Å): 3.226 3.226 6.588
angles (deg): 90.00 90.00 90.00
Space group P4/mmm (No. 123)
Symmetry-distinct sites (fractional):
Ta: 0.000 0.000 0.240
Nb: 0.500 0.500 0.500
Tc: 0.500 0.500 0.000

Computed properties:
E_form: -0.2756 eV/atom

=====

(2)
This record from Alexandria via LeMat-Bulk describes a relaxed TaNb2Tc2 crystal. The functional is PBE.

a b c (Å): 3.134 17.667 3.130
angles (deg): 90.00 90.00 90.00
Space group Cmmm (No. 65)
Symmetry-distinct sites (fractional):
Ta: 0.000 0.000 0.000
Nb: 0.000 0.183 0.000
Tc: 0.000 0.410 0.500

Computed properties:
E_form: -0.0421 eV/atom

=====

(3)
This record from Alexandria via LeMat-Bulk describes a relaxed TaNb6Tc5 crystal. The functional is PBE.

a b c (Å): 4.534 6.419 13.656
angles (deg): 90.00 90.00 90.00
Space group Immm (No. 71)
Symmetry-distinct sites (fractional):
Ta: 0.000 0.000 0.000
Nb: 0.000 0.246 0.500
Nb: 0.000 0.252 0.168
Tc: 0.000 0.000 0.333
Tc: 0.000 0.500 0.000
Tc: 0.000 0.500 0.332

Computed properties:
E_form: -0.2941 eV/atom

=====

Number 1: VASP energy -11.311 eV per atom. Number 2: VASP energy -10.587 eV per atom. Number 3: VASP energy -10.636 eV per atom.